Here is crystalline CaTi3Zn at its relaxed geometry from Alexandria. Energies are from PBE-GGA.

abc: 4.875 4.875 4.875
angles: 90.00 90.00 90.00
Atoms (fractional coordinates):
Ca1 0.000 0.000 0.000
Ti1 0.000 0.500 0.500
Ti2 0.500 0.000 0.500
Ti3 0.500 0.500 0.000
Zn1 0.500 0.500 0.500

energy above the most stable polymorph in this dataset: 0.000 eV/atom
SG: Pm-3m, No. 221
formation energy from the elements: 689 meV/atom